This record from Alexandria describes a relaxed MnHgO3 crystal. The functional is PBE with a Hubbard U.

Output
V   11.06 Å³ per atom
Calculated total energy   -5.146 eV/atom
Density of states at the Fermi level   0.444 states/eV per atom
Calculated density   9.12 g/cm3

abc: 3.8093 3.8093 3.8093
angles: 90.00 90.00 90.00
Fractional coordinates of all 5 atoms:
Mn 0.0000 0.0000 0.0000
Hg 0.5000 0.5000 0.5000
O 0.0000 0.0000 0.5000
O 0.0000 0.5000 0.0000
O 0.5000 0.0000 0.0000